No. 1
A relaxed NaSmCdS3 crystal, computed with PBE.

The structure in POSCAR format:
```
NaSmCdS3
1.0
11.112 0.000 0.000
0.000 4.111 0.000
0.000 0.000 13.050
Sm Cd Na S
4 4 4 12
direct
0.999 0.250 0.274 Sm
0.501 0.750 0.774 Sm
0.001 0.750 0.726 Sm
0.499 0.250 0.226 Sm
0.754 0.250 0.785 Cd
0.246 0.750 0.215 Cd
0.746 0.750 0.285 Cd
0.254 0.250 0.715 Cd
0.327 0.750 0.491 Na
0.673 0.250 0.509 Na
0.173 0.250 0.991 Na
0.827 0.750 0.009 Na
0.047 0.750 0.125 S
0.953 0.250 0.875 S
0.751 0.750 0.666 S
0.547 0.750 0.375 S
0.076 0.250 0.600 S
0.251 0.750 0.834 S
0.749 0.250 0.166 S
0.453 0.250 0.625 S
0.576 0.250 0.900 S
0.249 0.250 0.334 S
0.924 0.750 0.400 S
0.424 0.750 0.100 S
```

Output
ΔE to the lowest computed polymorph: 32 meV/atom
E: -108.43 eV per cell

No. 2
A relaxed NaSmCdS3 crystal, computed with PBE.

The structure in POSCAR format:
```
NaSmCdS3
1.0
-7.346 -2.401 0.898
1.104 -3.817 -1.172
3.248 -3.964 15.972
S Sm Na Cd
12 4 4 4
direct
0.124 0.250 0.936 S
0.988 0.250 0.421 S
0.376 0.750 0.436 S
0.732 0.750 0.292 S
0.768 0.250 0.792 S
0.012 0.750 0.579 S
0.876 0.750 0.064 S
0.268 0.250 0.708 S
0.488 0.250 0.079 S
0.624 0.250 0.564 S
0.512 0.750 0.921 S
0.232 0.750 0.208 S
0.267 0.250 0.538 Sm
0.733 0.750 0.462 Sm
0.767 0.250 0.962 Sm
0.233 0.750 0.038 Sm
0.945 0.250 0.199 Na
0.555 0.750 0.699 Na
0.055 0.750 0.801 Na
0.445 0.250 0.301 Na
0.417 0.250 0.839 Cd
0.083 0.750 0.339 Cd
0.583 0.750 0.161 Cd
0.917 0.250 0.661 Cd
```

Output
ΔE to the lowest computed polymorph: 39 meV/atom
E: -108.27 eV per cell